Compound: Y2ZrAl
Source: Alexandria
Functional: PBE
Structure: optimized geometry

Cell: 4.9700 3.4390 12.2126 Å, 90.00 90.00 90.00°
Element x y z (fractional)
Y1 0.0000 0.0000 0.0000
Y2 0.0000 0.5000 0.5000
Y3 0.5000 0.0000 0.3229
Y4 0.5000 0.5000 0.8229
Zr1 0.5000 0.0000 0.6002
Zr2 0.5000 0.5000 0.1002
Al1 0.0000 0.0000 0.7261
Al2 0.0000 0.5000 0.2261

## Properties
Total magnetic moment   0.000 μB per cell
Space-group type   Amm2 (38)



Compound: LaMg2TlRh
Source: Alexandria
Functional: PBE
Structure: optimized geometry

Cell: 4.9470 4.9470 5.2447 Å, 90.00 90.00 90.00°
Element x y z (fractional)
La1 0.0000 0.0000 0.0000
Mg1 0.0000 0.5000 0.5000
Mg2 0.5000 0.0000 0.5000
Tl1 0.5000 0.5000 0.0000
Rh1 0.5000 0.5000 0.5000

## Properties
Total magnetic moment   0.000 μB per cell
Space-group type   P4/mmm (123)



Compound: ZrBe2Ru
Source: Alexandria
Functional: PBE
Structure: optimized geometry

Cell: 7.5239 3.3321 4.7259 Å, 90.00 111.32 90.00°
Element x y z (fractional)
Zr1 0.0000 0.0000 0.0000
Zr2 0.5000 0.5000 0.0000
Be1 0.2270 0.0000 0.6317
Be2 0.2730 0.5000 0.3683
Be3 0.7270 0.5000 0.6317
Be4 0.7730 0.0000 0.3683
Ru1 0.0000 0.5000 0.5000
Ru2 0.5000 0.0000 0.5000

## Properties
Total magnetic moment   0.000 μB per cell
Space-group type   C2/m (12)



Compound: LaGdCdPt
Source: Alexandria
Functional: PBE
Structure: optimized geometry

Cell: 7.4284 7.4284 7.4284 Å, 90.00 90.00 90.00°
Element x y z (fractional)
La1 0.0000 0.0000 0.0000
La2 0.0000 0.5000 0.5000
La3 0.5000 0.0000 0.5000
La4 0.5000 0.5000 0.0000
Gd1 0.0000 0.0000 0.5000
Gd2 0.0000 0.5000 0.0000
Gd3 0.5000 0.0000 0.0000
Gd4 0.5000 0.5000 0.5000
Cd1 0.2500 0.2500 0.2500
Cd2 0.2500 0.7500 0.7500
Cd3 0.7500 0.2500 0.7500
Cd4 0.7500 0.7500 0.2500
Pt1 0.2500 0.2500 0.7500
Pt2 0.2500 0.7500 0.2500
Pt3 0.7500 0.2500 0.2500
Pt4 0.7500 0.7500 0.7500

## Properties
Total magnetic moment   28.789 μB per cell
Space-group type   F-43m (216)



Compound: Ac4LaAg
Source: Alexandria
Functional: PBE
Structure: optimized geometry

Cell: 3.9528 3.9528 14.9885 Å, 90.00 90.00 90.00°
Element x y z (fractional)
Ac1 0.0000 0.0000 0.1321
Ac2 0.0000 0.0000 0.8679
Ac3 0.5000 0.5000 0.3236
Ac4 0.5000 0.5000 0.6764
La1 0.0000 0.0000 0.5000
Ag1 0.5000 0.5000 0.0000

## Properties
Total magnetic moment   0.000 μB per cell
Space-group type   P4/mmm (123)



no.,raw total energy (Ry per atom)
1,-0.4724
2,-0.2800
3,-0.4848
4,-0.5253
5,-0.3016